No. 1
Material: Mg3Mo
Method: DFT, PBE-GGA
State: relaxed

Values from the calculation:
The space group is Pmmn (59). The calculation puts the volume at 19.23 Å³ per atom.

abc: 4.8325 5.9361 5.3626
angles: 90.00 90.00 90.00
Closest atoms and distances in Å follow each position.
Fractional positions:
Mg (0.2500, 0.0016, 0.1633)  8 Mg 2.95-3.14, 4 Mo 3.00-3.12
Mg (0.2500, 0.4984, 0.1633)  8 Mg 2.95-3.14, 4 Mo 3.00-3.12
Mg (0.2500, 0.7500, 0.6485)  4 Mo 2.90-2.97, 8 Mg 3.00-3.14
Mg (0.7500, 0.2500, 0.3515)  4 Mo 2.90-2.97, 8 Mg 3.00-3.14
Mg (0.7500, 0.5016, 0.8367)  8 Mg 2.95-3.14, 4 Mo 3.00-3.12
Mg (0.7500, 0.9984, 0.8367)  8 Mg 2.95-3.14, 4 Mo 3.00-3.12
Mo (0.2500, 0.2500, 0.6501)  12 Mg 2.90-3.12
Mo (0.7500, 0.7500, 0.3499)  12 Mg 2.90-3.12

---

No. 2
Material: PmYNO
Method: DFT, PBE-GGA
State: relaxed

Values from the calculation:
The space group is Pbcm (57). The calculation puts the volume at 17.69 Å³ per atom.

abc: 8.2027 6.8664 5.0244
angles: 90.00 90.00 90.00
Closest atoms and distances in Å follow each position.
Fractional positions:
Pm (0.1294, 0.0825, 0.2500)  4 N 2.37-2.52, 1 O 2.39
Pm (0.1294, 0.4175, 0.7500)  4 N 2.37-2.52, 1 O 2.39
Pm (0.8706, 0.5825, 0.2500)  4 N 2.37-2.52, 1 O 2.39
Pm (0.8706, 0.9175, 0.7500)  4 N 2.37-2.52, 1 O 2.39
Y (0.3789, 0.5752, 0.2500)  1 N 2.24, 2 O 2.25-2.31
Y (0.3789, 0.9248, 0.7500)  1 N 2.24, 2 O 2.25-2.31
Y (0.6211, 0.0752, 0.2500)  1 N 2.24, 2 O 2.25-2.31
Y (0.6211, 0.4248, 0.7500)  1 N 2.24, 2 O 2.25-2.31
N (0.1321, 0.0653, 0.7500)  1 Y 2.24, 2 Pm 2.37-2.42
N (0.1321, 0.4347, 0.2500)  1 Y 2.24, 2 Pm 2.37-2.42
N (0.8679, 0.5653, 0.7500)  1 Y 2.24, 2 Pm 2.37-2.42
N (0.8679, 0.9347, 0.2500)  1 Y 2.24, 2 Pm 2.37-2.42
O (0.3789, 0.5967, 0.7500)  4 Y 2.25-2.52, 1 Pm 2.39
O (0.3789, 0.9033, 0.2500)  4 Y 2.25-2.52, 1 Pm 2.39
O (0.6211, 0.0967, 0.7500)  4 Y 2.25-2.52, 1 Pm 2.39
O (0.6211, 0.4033, 0.2500)  4 Y 2.25-2.52, 1 Pm 2.39

---

No. 3
Material: YScCu2Ge2
Method: DFT, PBE-GGA
State: relaxed

Values from the calculation:
The space group is Pm (6). The calculation puts the volume at 18.84 Å³ per atom.

abc: 8.6276 4.3005 12.9122
angles: 90.00 109.34 90.00
Closest atoms and distances in Å follow each position.
Fractional positions:
Y (0.0000, 0.0000, 0.0000)  4 Cu 2.66-2.70
Y (0.1233, 0.5000, 0.7459)  4 Cu 2.66-2.71
Y (0.2494, 0.0000, 0.4970)  4 Cu 2.67-2.70
Y (0.5039, 0.0000, 0.0013)  4 Cu 2.66-2.70
Sc (0.3771, 0.5000, 0.2511)  4 Cu 2.58-2.60
Sc (0.6281, 0.5000, 0.7484)  4 Cu 2.55-2.60
Sc (0.7496, 0.0000, 0.4977)  4 Cu 2.60-2.61
Sc (0.8764, 0.5000, 0.2503)  4 Cu 2.58-2.60
Cu (0.0687, 0.5000, 0.1336)  4 Ge 2.58-2.71, 2 Sc 2.58-2.59, 2 Y 2.70
Cu (0.1897, 0.0000, 0.8747)  4 Y 2.66, 4 Ge 2.67-2.74
Cu (0.3264, 0.5000, 0.6272)  1 Sc 2.55, 4 Ge 2.61-2.83, 3 Y 2.67-2.68
Cu (0.4446, 0.0000, 0.3709)  4 Ge 2.54-2.67, 3 Sc 2.60, 1 Y 2.70
Cu (0.5689, 0.5000, 0.1340)  2 Sc 2.58, 4 Ge 2.59-2.71, 2 Y 2.69
Cu (0.6854, 0.0000, 0.8666)  4 Ge 2.56-2.69, 2 Sc 2.59, 2 Y 2.69-2.70
Cu (0.8030, 0.5000, 0.6184)  4 Ge 2.53-2.64, 3 Sc 2.60-2.61, 1 Y 2.71
Cu (0.9292, 0.0000, 0.3706)  4 Ge 2.54-2.65, 3 Sc 2.60, 1 Y 2.70
Ge (0.1267, 0.0000, 0.2508)  4 Cu 2.58-2.67
Ge (0.2537, 0.5000, 0.0043)  4 Cu 2.66-2.68
Ge (0.3819, 0.0000, 0.7486)  4 Cu 2.56-2.68
Ge (0.5052, 0.5000, 0.4961)  4 Cu 2.53-2.64
Ge (0.6282, 0.0000, 0.2524)  4 Cu 2.54-2.59
Ge (0.7519, 0.5000, 0.9996)  4 Cu 2.69-2.71
Ge (0.8671, 0.0000, 0.7434)  4 Cu 2.58-2.74
Ge (0.9913, 0.5000, 0.4946)  4 Cu 2.63-2.83

---

| no. | final energy (eV per atom) |
| --- | --- |
| 1 | -3.460 |
| 2 | -8.223 |
| 3 | -5.470 |